Entry 1:
Here is a relaxed structure of MnCoTcHOs from Alexandria. Energies are from PBE-GGA.

Cell and atoms, written as POSCAR:
```
MnCoTcHOs
1.0
3.822 0.000 0.025
0.000 2.685 0.000
-0.029 0.000 5.311
Mn Co Tc H Os
1 1 1 1 1
Cartesian
1.511 1.342 2.255 Mn
3.210 0.000 3.600 Co
1.492 1.342 4.987 Tc
0.339 1.342 3.534 H
3.351 0.000 0.975 Os
```

## Properties
Offset from the most stable computed form: 0.083 eV/atom
DFT total energy: -40.792 eV per cell
Space-group type: Pm, No. 6



Entry 2:
Here is a relaxed structure of Pu2MgSn8 from Alexandria. Energies are from PBE-GGA.

Cell and atoms, written as POSCAR:
```
Pu2MgSn8
1.0
4.606 0.000 -0.013
0.000 4.606 0.000
0.019 0.000 13.676
Pu Mg Sn
2 1 8
Cartesian
4.610 0.000 4.539 Pu
0.015 0.000 9.123 Pu
0.000 0.000 0.000 Mg
4.616 2.303 6.824 Sn
2.313 0.000 6.831 Sn
2.306 2.303 4.372 Sn
2.320 2.303 9.290 Sn
4.603 2.303 1.997 Sn
2.303 0.000 2.004 Sn
0.022 2.303 11.665 Sn
2.322 4.606 11.658 Sn
```

## Properties
DFT total energy: -64.770 eV per cell
Space-group type: P2/m, No. 10
Calculated formation energy: -226 meV/atom



Entry 3:
Here is a relaxed structure of HoTm3Bi from Alexandria. Energies are from PBE-GGA.

Cell and atoms, written as POSCAR:
```
HoTm3Bi
1.0
7.862 -0.727 0.115
-4.493 6.493 -0.115
-3.517 -1.812 6.834
Ho Tm Bi
2 6 2
Cartesian
4.077 -0.187 0.108 Ho
-5.681 1.648 6.726 Ho
4.274 -0.304 4.735 Tm
3.318 4.123 1.654 Tm
-1.553 3.102 5.180 Tm
-1.554 1.201 2.193 Tm
1.983 1.035 2.214 Tm
1.662 3.189 4.641 Tm
0.030 4.001 2.131 Bi
-0.046 0.178 4.703 Bi
```

## Properties
DFT total energy: -41.958 eV per cell
Space-group type: Ima2, No. 46
Calculated formation energy: 179 meV/atom



Entry 4:
Here is a relaxed structure of TlTc2Au from Alexandria. Energies are from PBE-GGA.

Cell and atoms, written as POSCAR:
```
TlTc2Au
1.0
-4.006 -2.840 -0.353
0.614 -1.222 2.861
-2.654 3.520 1.802
Au Tc Tl
1 2 1
Cartesian
-3.533 0.303 3.321 Au
-2.504 3.292 1.928 Tc
-1.170 1.376 2.205 Tc
-2.513 -0.846 0.989 Tl
```

## Properties
Offset from the most stable computed form: 0.370 eV/atom
DFT total energy: -23.791 eV per cell
Space-group type: P2/m, No. 10
Calculated formation energy: 646 meV/atom



Q: Among the records above, which one has the highest DFT total energy?
A: TlTc2Au